No. 1
## Rb2BaTaS4 (PBE-GGA)

Data for Rb2BaTaS4 after structural relaxation.

**Uncorrected formation energy**: -1227 meV/atom

a b c (Å): 7.256 7.256 7.256
angles (deg): 98.10 115.44 115.44
Atoms (fractional coordinates):
Rb: 0.500 0.750 0.250
Rb: 0.000 0.000 0.000
Ba: 0.500 0.250 0.750
Ta: 0.000 0.500 0.500
S: 0.608 0.395 0.415
S: 0.020 0.213 0.605
S: 0.980 0.585 0.193
S: 0.392 0.807 0.787



No. 2
## LiTi2Ni (PBE-GGA)

Data for LiTi2Ni after structural relaxation.

**E_form**: 0.2406 eV/atom
**Excess energy over the best structure of this formula in the dataset**: 0.230 eV per atom

a b c (Å): 6.914 6.914 5.532
angles (deg): 51.32 51.32 90.00
Atoms (fractional coordinates):
Ni: 0.000 0.000 0.000
Ni: 0.750 0.250 0.500
Li: 0.500 0.500 0.000
Li: 0.250 0.750 0.500
Ti: 0.659 0.125 0.250
Ti: 0.091 0.625 0.250
Ti: 0.375 0.341 0.750
Ti: 0.875 0.909 0.750



No. 3
## Zr2TiGe (PBE-GGA)

Data for Zr2TiGe after structural relaxation.

**E_form**: -0.1194 eV/atom

a b c (Å): 3.163 3.163 9.579
angles (deg): 80.50 80.50 60.00
Atoms (fractional coordinates):
Ge: 0.500 0.500 0.500
Zr: 0.248 0.248 0.256
Zr: 0.752 0.752 0.744
Ti: 0.000 0.000 0.000



No. 4
## NpZnBr5 (PBE-GGA)

Data for NpZnBr5 after structural relaxation.

**Uncorrected formation energy**: -1081 meV/atom

a b c (Å): 7.631 7.629 11.100
angles (deg): 113.16 113.12 85.99
Atoms (fractional coordinates):
Np: 0.500 0.000 0.000
Np: 0.500 0.000 0.500
Zn: 0.884 0.616 0.250
Zn: 0.116 0.384 0.750
Br: 0.729 0.692 0.041
Br: 0.235 0.658 0.332
Br: 0.422 0.080 0.250
Br: 0.808 0.770 0.459
Br: 0.192 0.230 0.541
Br: 0.843 0.264 0.167
Br: 0.157 0.736 0.833
Br: 0.578 0.920 0.750
Br: 0.765 0.342 0.668
Br: 0.271 0.308 0.959



No. 5
## BaCa2Fe (PBE-GGA)

Data for BaCa2Fe after structural relaxation.

**E_form**: 0.7835 eV/atom
**Excess energy over the best structure of this formula in the dataset**: 0.399 eV per atom

a b c (Å): 5.529 5.529 5.529
angles (deg): 60.00 60.00 60.00
Atoms (fractional coordinates):
Ca: 0.250 0.250 0.250
Ca: 0.750 0.750 0.750
Ba: 0.500 0.500 0.500
Fe: 0.000 0.000 0.000



No. 6
## Be2AlAsO6 (PBE-GGA)

Data for Be2AlAsO6 after structural relaxation.

**Uncorrected formation energy**: -2207 meV/atom

a b c (Å): 5.087 6.338 6.338
angles (deg): 78.98 71.81 71.81
Atoms (fractional coordinates):
Be: 0.342 0.777 0.625
Be: 0.158 0.375 0.223
Be: 0.658 0.223 0.375
Be: 0.842 0.625 0.777
Al: 0.250 0.903 0.097
Al: 0.750 0.097 0.903
As: 0.250 0.278 0.722
As: 0.750 0.722 0.278
O: 0.174 0.974 0.800
O: 0.326 0.200 0.026
O: 0.826 0.026 0.200
O: 0.674 0.800 0.974
O: 0.364 0.842 0.357
O: 0.136 0.643 0.158
O: 0.636 0.158 0.643
O: 0.864 0.357 0.842
O: 0.193 0.576 0.719
O: 0.307 0.281 0.424
O: 0.807 0.424 0.281
O: 0.693 0.719 0.576



No. 7
## LaTbOs (PBE-GGA)

Data for LaTbOs after structural relaxation.

**E_form**: -0.1255 eV/atom
**Excess energy over the best structure of this formula in the dataset**: 0.016 eV per atom

a b c (Å): 3.464 3.464 7.337
angles (deg): 103.66 103.66 90.00
Atoms (fractional coordinates):
Tb: 0.288 0.288 0.575
Os: 0.671 0.671 0.341
La: 0.042 0.042 0.083



No. 8
## La3NdPu2Te6 (PBE-GGA)

Data for La3NdPu2Te6 after structural relaxation.

**Uncorrected formation energy**: -1406 meV/atom

a b c (Å): 7.812 7.812 7.858
angles (deg): 99.54 99.54 120.01
Atoms (fractional coordinates):
La: 0.165 0.835 0.500
La: 0.835 0.165 0.500
La: 0.500 0.500 0.500
Nd: 0.000 0.000 0.000
Pu: 0.333 0.667 0.000
Pu: 0.667 0.333 0.000
Te: 0.919 0.582 0.758
Te: 0.743 0.743 0.240
Te: 0.081 0.418 0.242
Te: 0.582 0.919 0.758
Te: 0.257 0.257 0.760
Te: 0.418 0.081 0.242